[1]
A plane-wave DFT calculation with PBE was carried out for a relaxed structure of La2TbPrSm2.

Output
Volume ... 429.47 Å³ per cell
DOS at the Fermi energy ... 1.847 states/eV per atom
DFT formation energy ... 0.24 eV/atom
E_tot ... -4.549 eV/atom

Cell lengths 3.4711, 6.7676, 18.2820 Å; angles 90.00, 90.00, 90.00 degrees
Element x y z (fractional)
La1 0.5000 0.2700 0.3151
La2 0.0000 0.7700 0.1849
La3 0.5000 0.7300 0.6849
La4 0.0000 0.2300 0.8151
Tb1 0.0000 0.0000 0.0000
Tb2 0.5000 0.5000 0.5000
Pr1 0.5000 0.5000 0.0000
Pr2 0.0000 0.0000 0.5000
Sm1 0.5000 0.7736 0.3535
Sm2 0.5000 0.2264 0.6465
Sm3 0.0000 0.7264 0.8535
Sm4 0.0000 0.2736 0.1465



[2]
A plane-wave DFT calculation with PBE was carried out for a relaxed structure of La3Tb6PrSm2.

Output
Volume ... 405.14 Å³ per cell
DOS at the Fermi energy ... 1.287 states/eV per atom
DFT formation energy ... 0.01 eV/atom
E_tot ... -4.719 eV/atom

Cell lengths 6.3113, 6.3113, 11.9336 Å; angles 95.05, 95.05, 120.02 degrees
Element x y z (fractional)
La1 0.1666 0.8334 0.5000
La2 0.8334 0.1666 0.5000
La3 0.5000 0.5000 0.5000
Tb1 0.9176 0.5839 0.7525
Tb2 0.7485 0.7485 0.2475
Tb3 0.0824 0.4161 0.2475
Tb4 0.5839 0.9176 0.7525
Tb5 0.2515 0.2515 0.7525
Tb6 0.4161 0.0824 0.2475
Pr1 0.0000 0.0000 0.0000
Sm1 0.3333 0.6667 0.0000
Sm2 0.6667 0.3333 0.0000



[3]
A plane-wave DFT calculation with PBE was carried out for a relaxed structure of LaTb4Pr2Sm2.

Output
Volume ... 305.43 Å³ per cell
DOS at the Fermi energy ... 1.423 states/eV per atom
DFT formation energy ... 0.00 eV/atom
E_tot ... -4.715 eV/atom

Cell lengths 3.6660, 9.6857, 9.7261 Å; angles 115.25, 90.00, 100.91 degrees
Element x y z (fractional)
La1 0.0000 0.0000 0.0000
Tb1 0.8144 0.6288 0.6629
Tb2 0.1856 0.3712 0.3371
Tb3 0.5193 0.0387 0.3355
Tb4 0.4807 0.9613 0.6645
Pr1 0.3332 0.6663 0.9981
Pr2 0.6668 0.3337 0.0019
Sm1 0.8530 0.7060 0.3374
Sm2 0.1470 0.2940 0.6626



[4]
A plane-wave DFT calculation with PBE was carried out for a relaxed structure of La3PrSm2Te6.

Output
Volume ... 393.62 Å³ per cell
Formation energy from raw total energies ... -1.505 eV/atom
DOS at the Fermi energy ... 0.598 states/eV per atom
E_tot ... -5.492 eV/atom

Cell lengths 7.8570, 7.8570, 7.8344 Å; angles 99.61, 99.61, 120.24 degrees
Element x y z (fractional)
La1 0.1640 0.8360 0.5000
La2 0.8360 0.1640 0.5000
La3 0.5000 0.5000 0.5000
Pr1 0.0000 0.0000 0.0000
Sm1 0.3334 0.6666 0.0000
Sm2 0.6666 0.3334 0.0000
Te1 0.9187 0.5809 0.7561
Te2 0.7425 0.7425 0.2414
Te3 0.0813 0.4191 0.2439
Te4 0.5809 0.9187 0.7561
Te5 0.2575 0.2575 0.7586
Te6 0.4191 0.0813 0.2439



[5]
A plane-wave DFT calculation with PBE was carried out for a relaxed structure of La4Pr3SmTe8.

Output
Volume ... 531.86 Å³ per cell
Formation energy from raw total energies ... -1.511 eV/atom
DOS at the Fermi energy ... 0.806 states/eV per atom
E_tot ... -5.505 eV/atom

Cell lengths 9.1175, 9.0717, 9.1121 Å; angles 120.11, 120.02, 90.00 degrees
Element x y z (fractional)
La1 0.5000 0.0000 0.0000
La2 0.5000 0.0000 0.5000
La3 0.0000 0.0000 0.0000
La4 0.0000 0.0000 0.5000
Pr1 0.5000 0.5000 0.0000
Pr2 0.5000 0.5000 0.5000
Pr3 0.0000 0.5000 0.5000
Sm1 0.0000 0.5000 0.0000
Te1 0.2468 0.7455 0.9986
Te2 0.2469 0.7455 0.4938
Te3 0.2507 0.2520 0.5014
Te4 0.7518 0.7455 0.9986
Te5 0.2482 0.2545 0.0014
Te6 0.7493 0.7480 0.4986
Te7 0.7531 0.2545 0.5062
Te8 0.7532 0.2545 0.0014



[6]
A plane-wave DFT calculation with PBE was carried out for a relaxed structure of La3PrSm4Te8.

Output
Volume ... 518.18 Å³ per cell
Formation energy from raw total energies ... -1.470 eV/atom
DOS at the Fermi energy ... 0.798 states/eV per atom
E_tot ... -5.443 eV/atom

Cell lengths 9.0289, 9.0024, 9.0211 Å; angles 120.01, 120.03, 90.00 degrees
Element x y z (fractional)
La1 0.5000 0.5000 0.0000
La2 0.5000 0.5000 0.5000
La3 0.0000 0.5000 0.5000
Pr1 0.0000 0.5000 0.0000
Sm1 0.5000 0.0000 0.0000
Sm2 0.5000 0.0000 0.5000
Sm3 0.0000 0.0000 0.0000
Sm4 0.0000 0.0000 0.5000
Te1 0.2524 0.7584 0.0060
Te2 0.2524 0.7585 0.5048
Te3 0.2469 0.2407 0.4939
Te4 0.7537 0.7584 0.0060
Te5 0.2463 0.2416 0.9940
Te6 0.7531 0.7593 0.5061
Te7 0.7476 0.2415 0.4952
Te8 0.7476 0.2416 0.9940



[7]
A plane-wave DFT calculation with PBE was carried out for a relaxed structure of LaPr3Sm2Te6.

Output
Volume ... 389.70 Å³ per cell
Formation energy from raw total energies ... -1.448 eV/atom
DOS at the Fermi energy ... 0.557 states/eV per atom
E_tot ... -5.411 eV/atom

Cell lengths 4.4941, 9.0674, 10.0815 Å; angles 102.99, 102.88, 90.00 degrees
Element x y z (fractional)
La1 0.5000 0.0000 0.0000
Pr1 0.5000 0.5000 0.0000
Pr2 0.8353 0.1691 0.6706
Pr3 0.1647 0.8309 0.3294
Sm1 0.8327 0.6666 0.6654
Sm2 0.1673 0.3334 0.3346
Te1 0.3317 0.9120 0.6634
Te2 0.6681 0.5786 0.3362
Te3 0.6683 0.0880 0.3366
Te4 0.0029 0.2529 0.0058
Te5 0.9971 0.7471 0.9942
Te6 0.3319 0.4214 0.6638



[8]
A plane-wave DFT calculation with PBE was carried out for a relaxed structure of La2PrSm3Te6.

Output
Volume ... 387.80 Å³ per cell
Formation energy from raw total energies ... -1.467 eV/atom
DOS at the Fermi energy ... 0.586 states/eV per atom
E_tot ... -5.437 eV/atom

Cell lengths 4.4915, 9.0440, 10.0656 Å; angles 103.01, 102.89, 90.00 degrees
Element x y z (fractional)
La1 0.8344 0.6689 0.6688
La2 0.1656 0.3311 0.3312
Pr1 0.5000 0.0000 0.0000
Sm1 0.5000 0.5000 0.0000
Sm2 0.8336 0.1663 0.6673
Sm3 0.1664 0.8337 0.3327
Te1 0.3318 0.9226 0.6636
Te2 0.6650 0.5880 0.3299
Te3 0.6682 0.0774 0.3364
Te4 0.9976 0.2536 0.9953
Te5 0.0024 0.7464 0.0047
Te6 0.3350 0.4120 0.6701



[9]
A plane-wave DFT calculation with PBE was carried out for a relaxed structure of LaPr3Sm3Te8.

Output
Volume ... 508.34 Å³ per cell
Formation energy from raw total energies ... -1.468 eV/atom
DOS at the Fermi energy ... 0.517 states/eV per atom
E_tot ... -5.372 eV/atom

Cell lengths 8.9530, 8.9527, 8.9637 Å; angles 119.96, 90.00, 120.00 degrees
Element x y z (fractional)
La1 0.0000 0.0000 0.5000
Pr1 0.0000 0.0000 0.0000
Pr2 0.0000 0.5000 0.0000
Pr3 0.5000 0.5000 0.0000
Sm1 0.5000 0.0000 0.5000
Sm2 0.5000 0.5000 0.5000
Sm3 0.0000 0.5000 0.5000
Te1 0.2522 0.5044 0.2566
Te2 0.7478 0.4956 0.7434
Te3 0.7415 0.4830 0.2460
Te4 0.2585 0.5170 0.7540
Te5 0.7415 0.0045 0.2460
Te6 0.2585 0.9955 0.7540
Te7 0.2629 0.0045 0.2460
Te8 0.7371 0.9955 0.7540



[10]
A plane-wave DFT calculation with PBE was carried out for a relaxed structure of La3Pr4SmTe8.

Output
Volume ... 529.79 Å³ per cell
Formation energy from raw total energies ... -1.490 eV/atom
DOS at the Fermi energy ... 0.790 states/eV per atom
E_tot ... -5.474 eV/atom

Cell lengths 9.1013, 9.0636, 9.0917 Å; angles 120.03, 120.03, 90.00 degrees
Element x y z (fractional)
La1 0.5000 0.5000 0.0000
La2 0.5000 0.5000 0.5000
La3 0.0000 0.5000 0.5000
Pr1 0.5000 0.0000 0.0000
Pr2 0.5000 0.0000 0.5000
Pr3 0.0000 0.0000 0.0000
Pr4 0.0000 0.0000 0.5000
Sm1 0.0000 0.5000 0.0000
Te1 0.2476 0.7489 0.0014
Te2 0.2475 0.7489 0.4950
Te3 0.2493 0.2479 0.4986
Te4 0.7538 0.7489 0.0014
Te5 0.2462 0.2511 0.9986
Te6 0.7507 0.7521 0.5014
Te7 0.7525 0.2511 0.5050
Te8 0.7524 0.2511 0.9986



[11]
A plane-wave DFT calculation with PBE was carried out for a relaxed structure of LaPrSmTe3.

Output
Volume ... 415.69 Å³ per cell
Formation energy from raw total energies ... -1.336 eV/atom
DOS at the Fermi energy ... 0.627 states/eV per atom
E_tot ... -5.311 eV/atom

Cell lengths 4.3982, 8.7841, 11.1536 Å; angles 105.28, 90.00, 90.00 degrees
Element x y z (fractional)
La1 0.2500 0.1871 0.2126
La2 0.7500 0.8129 0.7874
Pr1 0.2500 0.1588 0.6209
Pr2 0.7500 0.8412 0.3791
Sm1 0.2500 0.6605 0.0955
Sm2 0.7500 0.3395 0.9045
Te1 0.7500 0.9114 0.1056
Te2 0.2500 0.0886 0.8944
Te3 0.2500 0.7761 0.5620
Te4 0.7500 0.2239 0.4380
Te5 0.7500 0.4718 0.1975
Te6 0.2500 0.5282 0.8025



[12]
A plane-wave DFT calculation with PBE was carried out for a relaxed structure of LaPr2SmTe5.

Output
Volume ... 381.88 Å³ per cell
Formation energy from raw total energies ... -0.873 eV/atom
DOS at the Fermi energy ... 0.790 states/eV per atom
E_tot ... -4.752 eV/atom

Cell lengths 5.6450, 5.6450, 11.9841 Å; angles 90.00, 90.00, 90.00 degrees
Element x y z (fractional)
La1 0.0000 0.0000 0.0000
Pr1 0.5000 0.5000 0.3463
Pr2 0.5000 0.5000 0.6537
Sm1 0.0000 0.0000 0.5000
Te1 0.0000 0.5000 0.5000
Te2 0.5000 0.0000 0.5000
Te3 0.0000 0.0000 0.7514
Te4 0.0000 0.0000 0.2486
Te5 0.5000 0.5000 0.0000